[1]
# Li2La3Cd9

Li2La3Cd9 after structural relaxation (PBE-GGA, the Alexandria database).

abc: 4.9766 9.0460 9.0460
angles: 65.87 74.03 74.03
With the nearest neighbours (Å) after each atom.
Fractional coordinates of all 14 atoms:
Li1 0.5000 0.3241 0.6759  4 Cd 2.82-3.03
Li2 0.5000 0.6759 0.3241  4 Cd 2.82-3.03
La1 0.0000 0.0000 0.0000  12 Cd 3.44-3.61
La2 0.7118 0.2882 0.2882  12 Cd 3.43-3.60, 2 Li 3.50
La3 0.2882 0.7118 0.7118  12 Cd 3.43-3.60, 2 Li 3.50
Cd1 0.0000 0.5000 0.5000  4 Cd 2.86, 4 Li 3.03
Cd2 0.6530 0.9910 0.7030  1 Li 2.82, 4 Cd 2.83-3.10
Cd3 0.3470 0.0090 0.2970  1 Li 2.82, 4 Cd 2.83-3.10
Cd4 0.6530 0.7030 0.9910  1 Li 2.82, 4 Cd 2.83-3.10
Cd5 0.3470 0.2970 0.0090  1 Li 2.82, 4 Cd 2.83-3.10
Cd6 0.8640 0.8485 0.4236  4 Cd 2.86-3.10, 2 Li 3.18
Cd7 0.1360 0.1515 0.5764  4 Cd 2.86-3.10, 2 Li 3.18
Cd8 0.8640 0.4236 0.8485  4 Cd 2.86-3.10, 2 Li 3.18
Cd9 0.1360 0.5764 0.1515  4 Cd 2.86-3.10, 2 Li 3.18

## Properties
Space-group type: Immm
Energy relative to the elements in eV per formula unit: -4.21

[2]
# Rb12Hg5Au2

Rb12Hg5Au2 after structural relaxation (PBE-GGA, the Alexandria database).

abc: 10.1799 10.1798 9.7739
angles: 81.03 81.03 81.38
With the nearest neighbours (Å) after each atom.
Fractional coordinates of all 19 atoms:
Rb1 0.8900 0.8900 0.1980  2 Hg 3.60-3.70
Rb2 0.0214 0.6750 0.8386  1 Au 3.72, 2 Hg 3.80-4.01
Rb3 0.6750 0.0214 0.8386  1 Au 3.72, 2 Hg 3.80-4.01
Rb4 0.1690 0.5955 0.3692  2 Hg 3.67-3.82, 1 Au 3.74
Rb5 0.5955 0.1690 0.3692  2 Hg 3.67-3.82, 1 Au 3.74
Rb6 0.4068 0.4068 0.7715  2 Hg 3.49-3.77, 2 Au 3.67
Rb7 0.5932 0.5932 0.2285  2 Hg 3.49-3.77, 2 Au 3.67
Rb8 0.8310 0.4045 0.6308  2 Hg 3.67-3.82, 1 Au 3.74
Rb9 0.4045 0.8310 0.6308  2 Hg 3.67-3.82, 1 Au 3.74
Rb10 0.9786 0.3250 0.1614  1 Au 3.72, 2 Hg 3.80-4.01
Rb11 0.3250 0.9786 0.1614  1 Au 3.72, 2 Hg 3.80-4.01
Rb12 0.1100 0.1100 0.8020  2 Hg 3.60-3.70
Hg1 0.2129 0.2129 0.4369  2 Hg 3.22-3.39, 1 Rb 3.60
Hg2 0.3676 0.3676 0.1360  2 Au 3.15, 1 Hg 3.39, 1 Rb 3.49
Hg3 0.0000 0.0000 0.5000  2 Hg 3.22
Hg4 0.6324 0.6324 0.8640  2 Au 3.15, 1 Hg 3.39, 1 Rb 3.49
Hg5 0.7871 0.7871 0.5631  2 Hg 3.22-3.39, 1 Rb 3.60
Au1 0.6700 0.3300 0.0000  2 Hg 3.15
Au2 0.3300 0.6700 0.0000  2 Hg 3.15

## Properties
Space-group type: C2/m
Energy relative to the elements in eV per formula unit: -2.70

For the records above, the corresponding D(E_F) values read 0.8569 0.5232 states/eV per atom.
For the records above, the corresponding magnetic moment values read 0.00 0.00 μB per formula unit.
For the records above, the corresponding E values read -2.22 -1.18 eV/atom.